(1)
Below is Ca2GaHAu after structural relaxation, with properties calculated at the PBE level.

Unit cell a=5.123 b=5.123 c=3.809 alpha=90.00 beta=90.00 gamma=90.00
Space group P4/mmm (No. 123)
Inequivalent atoms, fractional coordinates:
Ca: 0.000 0.500 0.000 (multiplicity 2)
Ga: 0.000 0.000 0.500 (multiplicity 1)
H: 0.500 0.500 0.000 (multiplicity 1)
Au: 0.500 0.500 0.500 (multiplicity 1)

***

(2)
Below is Ca2GaHgAu6 after structural relaxation, with properties calculated at the PBE level.

E_form: -146.0 meV per atom

Unit cell a=10.144 b=10.144 c=10.144 alpha=90.00 beta=90.00 gamma=90.00
Space group Fm-3m (No. 225)
Inequivalent atoms, fractional coordinates:
Ca: 0.250 0.250 0.250 (multiplicity 8)
Ga: 0.000 0.000 0.000 (multiplicity 4)
Hg: 0.000 0.000 0.500 (multiplicity 4)
Au: 0.000 0.000 0.240 (multiplicity 24)

***

(3)
Below is Ca2Ga3HgAu4 after structural relaxation, with properties calculated at the PBE level.

E_form: -503.8 meV per atom

Unit cell a=4.302 b=4.302 c=11.772 alpha=90.00 beta=90.00 gamma=90.00
Space group P-4m2 (No. 115)
Inequivalent atoms, fractional coordinates:
Ca: 0.000 0.500 0.239 (multiplicity 2)
Ga: 0.000 0.500 0.872 (multiplicity 2)
Ga: 0.500 0.500 0.500 (multiplicity 1)
Hg: 0.000 0.000 0.500 (multiplicity 1)
Au: 0.000 0.000 0.000 (multiplicity 1)
Au: 0.000 0.500 0.659 (multiplicity 2)
Au: 0.500 0.500 0.000 (multiplicity 1)

***

(4)
Below is Ca3Ga2Hg2Au4 after structural relaxation, with properties calculated at the PBE level.

E_form: -556.6 meV per atom

Unit cell a=4.6953 b=4.6953 c=13.5395 alpha=90.00 beta=90.00 gamma=120.00
Space group P-3m1 (No. 164)
Inequivalent atoms, fractional coordinates:
Ca: 0.0000 0.0000 0.0000 (multiplicity 1)
Ca: 0.0000 0.0000 0.2627 (multiplicity 2)
Ga: 0.3333 0.6667 0.1387 (multiplicity 2)
Hg: 0.3333 0.6667 0.5712 (multiplicity 2)
Au: 0.3333 0.6667 0.3508 (multiplicity 2)
Au: 0.3333 0.6667 0.8726 (multiplicity 2)

***

E (computed, eV/atom): -3.231; -2.846; -3.153; -2.899
Calculated density (computed, g/cm³): 5.78; 9.75; 9.74; 9.31
Density of states at the Fermi level (computed, states/eV per atom): 0.168; 0.340; 0.411; 0.348